P:
DyHoTmTl: optimized geometry, GGA-PBE.

The total magnetization comes out at 1.28 μB per formula unit. The density of states at the Fermi level comes out at 1.455 states/eV per atom.

The structure belongs to space group F-43m (No. 216); the cell edges are 7.686, 7.686 and 7.686 Å and the angles 90.00°, 90.00° and 90.00°. The inequivalent atoms are Dy at (0.000, 0.000, 0.000), Ho at (0.000, 0.000, 0.500), Tm at (0.250, 0.250, 0.750) and Tl at (0.250, 0.250, 0.250).


Q:
DyHoTmTl: optimized geometry, GGA-PBE.

The total magnetization comes out at 0.68 μB per formula unit. The density of states at the Fermi level comes out at 1.318 states/eV per atom.

The structure belongs to space group Pmmm (No. 47); the cell edges are 4.816, 4.822 and 4.832 Å and the angles 90.00°, 90.00° and 90.00°. The inequivalent atoms are Dy at (0.000, 0.000, 0.000), Ho at (0.500, 0.500, 0.000), Tm at (0.500, 0.000, 0.500) and Tl at (0.000, 0.500, 0.500).


Which structure is most stable, and how do the rest compare? From most to least stable: Q, P.


P:
Dy6Ho4Tm: optimized geometry, GGA-PBE.

The total magnetization comes out at 0.00 μB per formula unit. The density of states at the Fermi level comes out at 1.220 states/eV per atom.

The structure belongs to space group I-42m (No. 121); the cell edges are 6.493, 6.493 and 16.975 Å and the angles 90.00°, 90.00° and 90.00°. The inequivalent atoms are Dy at (0.000, 0.500, 0.000), Dy at (0.187, 0.187, 0.173), Ho at (0.179, 0.179, 0.368) and Tm at (0.000, 0.000, 0.000).


Q:
Dy6Ho4Tm: optimized geometry, GGA-PBE.

The total magnetization comes out at 0.00 μB per formula unit. The density of states at the Fermi level comes out at 1.780 states/eV per atom.

The structure belongs to space group Cmcm (No. 63); the cell edges are 5.661, 9.545 and 25.396 Å and the angles 90.00°, 90.00° and 90.00°. The inequivalent atoms are Dy at (0.000, 0.000, 0.000), Dy at (0.000, 0.027, 0.250), Dy at (0.000, 0.307, 0.605), Dy at (0.000, 0.361, 0.182), Ho at (0.000, 0.032, 0.122), Ho at (0.000, 0.345, 0.043) and Tm at (0.000, 0.308, 0.750).


Which structure is most stable, and how do the rest compare? From most to least stable: Q, P.


P:
DyHo4Tm: optimized geometry, GGA-PBE.

The total magnetization comes out at 0.00 μB per formula unit. The density of states at the Fermi level comes out at 1.369 states/eV per atom.

The structure belongs to space group Cmc2_1 (No. 36); the cell edges are 3.526, 18.312 and 11.380 Å and the angles 90.00°, 90.00° and 90.00°. The inequivalent atoms are Dy at (0.000, 0.167, 0.000), Ho at (0.000, 0.056, 0.250), Ho at (0.000, 0.167, 0.499), Ho at (0.000, 0.388, 0.249), Ho at (0.000, 0.500, 0.000) and Tm at (0.000, 0.278, 0.749).


Q:
DyHo4Tm: optimized geometry, GGA-PBE.

The total magnetization comes out at 0.00 μB per formula unit. The density of states at the Fermi level comes out at 1.323 states/eV per atom.

The structure belongs to space group P-1 (No. 2); the cell edges are 4.957, 6.086 and 7.029 Å and the angles 73.12°, 89.99° and 66.05°. The inequivalent atoms are Dy at (0.000, 0.000, 0.000), Ho at (0.333, 0.334, 0.666), Ho at (0.334, 0.332, 0.167) and Tm at (0.000, 0.000, 0.500).


R:
DyHo4Tm: optimized geometry, GGA-PBE.

The total magnetization comes out at 0.03 μB per formula unit. The density of states at the Fermi level comes out at 1.610 states/eV per atom.

The structure belongs to space group F-43m (No. 216); the cell edges are 9.187, 9.187 and 9.187 Å and the angles 90.00°, 90.00° and 90.00°. The inequivalent atoms are Dy at (0.000, 0.000, 0.000), Ho at (0.125, 0.125, 0.625) and Tm at (0.250, 0.250, 0.250).


Which structure is most stable, and how do the rest compare? From most to least stable: P, Q, R.


P:
Dy7Ho2Tm3: optimized geometry, GGA-PBE.

The total magnetization comes out at 0.00 μB per formula unit. The density of states at the Fermi level comes out at 1.597 states/eV per atom.

The structure belongs to space group P2/m (No. 10); the cell edges are 6.149, 5.426 and 11.923 Å and the angles 90.00°, 90.93° and 90.00°. The inequivalent atoms are Dy at (0.000, 0.000, 0.000), Dy at (0.088, 0.500, 0.169), Dy at (0.238, 0.500, 0.455), Dy at (0.438, 0.000, 0.180), Ho at (0.393, 0.500, 0.723), Tm at (0.056, 0.000, 0.659) and Tm at (0.500, 0.500, 0.000).


Q:
Dy7Ho2Tm3: optimized geometry, GGA-PBE.

The total magnetization comes out at 0.06 μB per formula unit. The density of states at the Fermi level comes out at 1.732 states/eV per atom.

The structure belongs to space group Cmmm (No. 65); the cell edges are 5.750, 37.130 and 3.555 Å and the angles 90.00°, 90.00° and 90.00°. The inequivalent atoms are Dy at (0.000, 0.000, 0.000), Dy at (0.000, 0.091, 0.500), Dy at (0.000, 0.270, 0.000), Dy at (0.000, 0.428, 0.000), Ho at (0.000, 0.176, 0.000), Tm at (0.000, 0.350, 0.500) and Tm at (0.000, 0.500, 0.500).


Which structure is most stable, and how do the rest compare? From most to least stable: Q, P.


P:
Dy2HoTm: optimized geometry, GGA-PBE.

The total magnetization comes out at 0.00 μB per formula unit. The density of states at the Fermi level comes out at 1.273 states/eV per atom.

The structure belongs to space group P4/mmm (No. 123); the cell edges are 3.516, 3.516 and 9.948 Å and the angles 90.00°, 90.00° and 90.00°. The inequivalent atoms are Dy at (0.000, 0.000, 0.249), Ho at (0.500, 0.500, 0.500) and Tm at (0.500, 0.500, 0.000).


Q:
Dy2HoTm: optimized geometry, GGA-PBE.

The total magnetization comes out at 0.00 μB per formula unit. The density of states at the Fermi level comes out at 1.464 states/eV per atom.

The structure belongs to space group R3m (No. 160, hexagonal axes); the cell edges are 3.5455, 3.5455 and 34.0020 Å and the angles 90.00°, 90.00° and 120.00°. The inequivalent atoms are Dy at (0.0000, 0.0000, 0.0000), Dy at (0.0000, 0.0000, 0.1668), Ho at (0.0000, 0.0000, 0.7497) and Tm at (0.0000, 0.0000, 0.5834).


R:
Dy2HoTm: optimized geometry, GGA-PBE.

The total magnetization comes out at 0.00 μB per formula unit. The density of states at the Fermi level comes out at 1.606 states/eV per atom.

The structure belongs to space group Pmmn (No. 59, origin choice 2); the cell edges are 5.572, 7.201 and 6.224 Å and the angles 90.00°, 90.00° and 90.00°. The inequivalent atoms are Dy at (0.250, 0.000, 0.168), Ho at (0.250, 0.250, 0.666) and Tm at (0.250, 0.750, 0.667).


S:
Dy2HoTm: optimized geometry, GGA-PBE.

The total magnetization comes out at 0.00 μB per formula unit. The density of states at the Fermi level comes out at 2.495 states/eV per atom.

The structure belongs to space group Fm-3m (No. 225); the cell edges are 7.940, 7.940 and 7.940 Å and the angles 90.00°, 90.00° and 90.00°. The inequivalent atoms are Dy at (0.250, 0.250, 0.250), Ho at (0.000, 0.000, 0.000) and Tm at (0.000, 0.000, 0.500).


Which structure is most stable, and how do the rest compare? From most to least stable: R, Q, P, S.


P:
DyHo6Tm4: optimized geometry, GGA-PBE.

The total magnetization comes out at 0.00 μB per formula unit. The density of states at the Fermi level comes out at 1.436 states/eV per atom.

The structure belongs to space group P-6m2 (No. 187); the cell edges are 10.7773, 10.7773 and 3.4897 Å and the angles 90.00°, 90.00° and 120.00°. The inequivalent atoms are Dy at (0.0000, 0.0000, 0.0000), Ho at (0.1821, 0.3642, 0.5000), Ho at (0.5168, 0.0336, 0.0000), Tm at (0.3247, 0.1623, 0.5000) and Tm at (0.3333, 0.6667, 0.0000).


Q:
DyHo6Tm4: optimized geometry, GGA-PBE.

The total magnetization comes out at 0.00 μB per formula unit. The density of states at the Fermi level comes out at 1.719 states/eV per atom.

The structure belongs to space group Cmcm (No. 63); the cell edges are 5.588, 9.559 and 25.377 Å and the angles 90.00°, 90.00° and 90.00°. The inequivalent atoms are Dy at (0.000, 0.178, 0.250), Ho at (0.000, 0.154, 0.681), Ho at (0.000, 0.179, 0.103), Ho at (0.000, 0.488, 0.750), Ho at (0.000, 0.500, 0.000), Tm at (0.000, 0.162, 0.542) and Tm at (0.000, 0.486, 0.622).


Which structure is most stable, and how do the rest compare? From most to least stable: Q, P.


P:
Dy3Ho6Tm2: optimized geometry, GGA-PBE.

The total magnetization comes out at 0.00 μB per formula unit. The density of states at the Fermi level comes out at 1.532 states/eV per atom.

The structure belongs to space group I4/mmm (No. 139); the cell edges are 4.677, 4.677 and 32.843 Å and the angles 90.00°, 90.00° and 90.00°. The inequivalent atoms are Dy at (0.000, 0.000, 0.000), Dy at (0.000, 0.000, 0.200), Ho at (0.000, 0.000, 0.304), Ho at (0.000, 0.500, 0.121) and Tm at (0.000, 0.000, 0.454).


Q:
Dy3Ho6Tm2: optimized geometry, GGA-PBE.

The total magnetization comes out at 0.00 μB per formula unit. The density of states at the Fermi level comes out at 1.385 states/eV per atom.

The structure belongs to space group R-3m (No. 166, hexagonal axes); the cell edges are 3.5168, 3.5168 and 94.4278 Å and the angles 90.00°, 90.00° and 120.00°. The inequivalent atoms are Dy at (0.0000, 0.0000, 0.0000), Dy at (0.0000, 0.0000, 0.2725), Ho at (0.0000, 0.0000, 0.0913), Ho at (0.0000, 0.0000, 0.1819), Ho at (0.0000, 0.0000, 0.3638) and Tm at (0.0000, 0.0000, 0.4547).


Which structure is most stable, and how do the rest compare? From most to least stable: Q, P.


P:
Dy3Ho2Tm: optimized geometry, GGA-PBE.

The total magnetization comes out at 0.00 μB per formula unit. The density of states at the Fermi level comes out at 1.345 states/eV per atom.

The structure belongs to space group C2/c (No. 15); the cell edges are 17.467, 7.105 and 6.152 Å and the angles 90.00°, 103.57° and 90.00°. The inequivalent atoms are Dy at (0.000, 0.125, 0.250), Dy at (0.167, 0.125, 0.027), Ho at (0.167, 0.375, 0.529) and Tm at (0.000, 0.376, 0.750).


Q:
Dy3Ho2Tm: optimized geometry, GGA-PBE.

The total magnetization comes out at 0.00 μB per formula unit. The density of states at the Fermi level comes out at 1.374 states/eV per atom.

The structure belongs to space group C2/c (No. 15); the cell edges are 17.249, 7.037 and 6.088 Å and the angles 90.00°, 90.05° and 90.00°. The inequivalent atoms are Dy at (0.000, 0.125, 0.250), Dy at (0.166, 0.375, 0.417), Ho at (0.166, 0.125, 0.917) and Tm at (0.000, 0.375, 0.750).


Which structure is most stable, and how do the rest compare? From most to least stable: P, Q.


P:
DyHo3Tm3: optimized geometry, GGA-PBE.

The total magnetization comes out at 0.00 μB per formula unit. The density of states at the Fermi level comes out at 1.409 states/eV per atom.

The structure belongs to space group R-3 (No. 148, hexagonal axes); the cell edges are 6.0867, 6.0867 and 41.9545 Å and the angles 90.00°, 90.00° and 120.00°. The inequivalent atoms are Dy at (0.0000, 0.0000, 0.1667), Ho at (0.0002, 0.3314, 0.6327) and Tm at (0.0000, 0.3341, 0.4335).


Q:
DyHo3Tm3: optimized geometry, GGA-PBE.

The total magnetization comes out at 0.00 μB per formula unit. The density of states at the Fermi level comes out at 2.013 states/eV per atom.

The structure belongs to space group P6_3/m (No. 176); the cell edges are 9.4633, 9.4633 and 5.5674 Å and the angles 90.00°, 90.00° and 120.00°. The inequivalent atoms are Dy at (0.3333, 0.6667, 0.2500), Ho at (0.0475, 0.8091, 0.2500) and Tm at (0.0948, 0.6186, 0.7500).


Which structure is most stable, and how do the rest compare? From most to least stable: Q, P.